Hg3AuO4 | PBE | optimized geometry

a = 6.5145 Å, b = 6.5145 Å, c = 6.5145 Å
α = 143.72°, β = 117.69°, γ = 74.29°
Sites, in units of the cell vectors:
Hg1 0.0000 0.0000 0.0000
Hg2 0.2157 0.7157 0.5000
Hg3 0.7843 0.2843 0.5000
Au1 0.5000 0.5000 0.0000
O1 0.2007 0.5000 0.7007
O2 0.3032 0.3032 0.0000
O3 0.6968 0.6968 0.0000
O4 0.7993 0.5000 0.2993

Properties
* density: 10.089 Mg/m³
* E_tot: -3.0715 eV per atom
* total magnetic moment: 0.0 μB/f.u.
* density of states at the Fermi level: 1.19 states/eV/cell